# 1
The following is a DFT calculation (PBE-GGA) of an optimized crystal structure of Pa2Al3Cr.

abc: 5.3158 5.3158 5.5311
angles: 118.80 118.80 59.82
Positions (direct):
Pa (0.1380, 0.1380, 0.4115)
Pa (0.8620, 0.8620, 0.5885)
Al (0.0000, 0.5000, 0.0000)
Al (0.5000, 0.0000, 0.0000)
Al (0.5000, 0.5000, 0.0000)
Cr (0.5000, 0.5000, 0.5000)

Symmetry ... No. 12
Formation enthalpy at 0 K ... -205 meV/atom
Total moment ... 1.4 μB per cell

***

# 2
The following is a DFT calculation (PBE-GGA) of an optimized crystal structure of BaSiCl.

abc: 5.5120 5.5120 5.5120
angles: 60.00 60.00 60.00
Positions (direct):
Ba (0.0000, 0.0000, 0.0000)
Si (0.7500, 0.7500, 0.7500)
Cl (0.2500, 0.2500, 0.2500)

Symmetry ... No. 216
Total moment ... 3.0 μB per cell
E_tot ... -10.45 eV per formula unit

***

# 3
The following is a DFT calculation (PBE-GGA) of an optimized crystal structure of Er5TmThIn2.

abc: 11.0426 11.0426 11.0426
angles: 140.01 140.01 57.83
Positions (direct):
Er (0.0000, 0.0000, 0.0000)
Er (0.0792, 0.5792, 0.9080)
Er (0.1712, 0.0792, 0.5000)
Er (0.3288, 0.8288, 0.9080)
Er (0.4208, 0.3288, 0.5000)
Er (0.5000, 0.5000, 0.0000)
Er (0.5792, 0.6712, 0.5000)
Er (0.6712, 0.1712, 0.0920)
Er (0.8288, 0.9208, 0.5000)
Er (0.9208, 0.4208, 0.0920)
Tm (0.2500, 0.7500, 0.5000)
Tm (0.7500, 0.2500, 0.5000)
Th (0.2500, 0.2500, 0.0000)
Th (0.7500, 0.7500, 0.0000)
In (0.1243, 0.3757, 0.5000)
In (0.3757, 0.8757, 0.2515)
In (0.6243, 0.1243, 0.7485)
In (0.8757, 0.6243, 0.5000)

Symmetry ... No. 140
Formation enthalpy at 0 K ... 26 meV/atom
Total moment ... 0.0 μB per cell

***

# 4
The following is a DFT calculation (PBE-GGA) of an optimized crystal structure of SmAgBi.

abc: 4.8741 4.8741 8.7796
angles: 90.00 90.00 120.00
Positions (direct):
Sm (0.0000, 0.0000, 0.2038)
Sm (0.0000, 0.0000, 0.7962)
Ag (0.3333, 0.6667, 0.0129)
Ag (0.6667, 0.3333, 0.9871)
Bi (0.3333, 0.6667, 0.3743)
Bi (0.6667, 0.3333, 0.6257)

Symmetry ... No. 164
Formation enthalpy at 0 K ... -191 meV/atom
Total moment ... 0.0 μB per cell